Entry one
Density functional theory data (PBE) for an optimized crystal structure of SmErAg4.

```
SmErAg4
1.0
0.000 4.045 4.045
4.045 0.000 4.045
4.045 4.045 0.000
Sm Er Ag
1 1 4
Cartesian
0.000 0.000 0.000
2.022 2.022 2.022
5.054 3.036 3.036
3.036 5.054 3.036
3.036 3.036 5.054
5.054 5.054 5.054
```

Properties
total moment: 0.00 μB per cell
crystal system: cubic



Entry two
Density functional theory data (PBE) for an optimized crystal structure of SmErAg4.

```
SmErAg4
1.0
5.328 0.000 0.000
0.000 5.327 0.000
-2.646 0.000 4.655
Sm Er Ag
1 1 4
Cartesian
0.000 0.000 0.000
2.660 2.664 0.000
0.002 2.664 1.604
0.018 0.000 3.095
2.666 0.000 1.560
2.670 2.664 3.051
```

Properties
total moment: 0.00 μB per cell
crystal system: monoclinic



Relative energies, unit meV/atom: entry one 127; entry two 0